A plane-wave DFT calculation with PBE-GGA was carried out for a geometry-optimized YTa2Ni structure.

It has space group P4/mmm (No. 123), with a = 4.6943 Å, b = 4.6943 Å, c = 3.3153 Å, α = 90.00°, β = 90.00° and γ = 90.00°. The distinct sites, in fractional coordinates, are Y at (0.0000, 0.0000, 0.0000), Ta at (0.0000, 0.5000, 0.5000) and Ni at (0.5000, 0.5000, 0.0000).

The energy of formation from the pure elements is 0.60 eV per atom. As for the energy above the most stable polymorph in this dataset: 551.9 meV/atom. The density of states at the Fermi level comes out at 5.90 states/eV/f.u.

=====

A plane-wave DFT calculation with PBE-GGA was carried out for a geometry-optimized YTaNi2 structure.

It has space group P4mm (No. 99), with a = 3.2438 Å, b = 3.2438 Å, c = 6.5128 Å, α = 90.00°, β = 90.00° and γ = 90.00°. The distinct sites, in fractional coordinates, are Y at (0.0000, 0.0000, 0.0000), Ta at (0.5000, 0.5000, 0.6513), Ni at (0.0000, 0.0000, 0.4685) and Ni at (0.5000, 0.5000, 0.2735).

The energy of formation from the pure elements is -0.03 eV per atom. The density of states at the Fermi level comes out at 5.56 states/eV/f.u.

=====

A plane-wave DFT calculation with PBE-GGA was carried out for a geometry-optimized YTa2Ni structure.

It has space group P4mm (No. 99), with a = 3.1232 Å, b = 3.1232 Å, c = 7.8303 Å, α = 90.00°, β = 90.00° and γ = 90.00°. The distinct sites, in fractional coordinates, are Y at (0.0000, 0.0000, 0.0000), Ta at (0.0000, 0.0000, 0.4443), Ta at (0.5000, 0.5000, 0.6931) and Ni at (0.5000, 0.5000, 0.2757).

The energy of formation from the pure elements is 0.04 eV per atom. As for the energy above the most stable polymorph in this dataset: 0.0 meV/atom. The density of states at the Fermi level comes out at 3.14 states/eV/f.u.

=====

A plane-wave DFT calculation with PBE-GGA was carried out for a geometry-optimized Y3TaNi structure.

It has space group Pm-3m (No. 221), with a = 5.3872 Å, b = 5.3872 Å, c = 5.3872 Å, α = 90.00°, β = 90.00° and γ = 90.00°. The distinct sites, in fractional coordinates, are Y at (0.0000, 0.0000, 0.5000), Ta at (0.0000, 0.0000, 0.0000) and Ni at (0.5000, 0.5000, 0.5000).

The energy of formation from the pure elements is 1.00 eV per atom. As for the energy above the most stable polymorph in this dataset: 500.5 meV/atom. The density of states at the Fermi level comes out at 2.91 states/eV/f.u.

=====

A plane-wave DFT calculation with PBE-GGA was carried out for a geometry-optimized YTa2Ni structure.

It has space group Cmmm (No. 65), with a = 5.4622 Å, b = 9.7062 Å, c = 2.8689 Å, α = 90.00°, β = 90.00° and γ = 90.00°. The distinct sites, in fractional coordinates, are Y at (0.0000, 0.0000, 0.0000), Ta at (0.2500, 0.2500, 0.5000) and Ni at (0.0000, 0.5000, 0.0000).

The energy of formation from the pure elements is 0.49 eV per atom. As for the energy above the most stable polymorph in this dataset: 449.4 meV/atom. The density of states at the Fermi level comes out at 5.15 states/eV/f.u.

=====

A plane-wave DFT calculation with PBE-GGA was carried out for a geometry-optimized Y2TaNi structure.

It has space group R-3m (No. 166, hexagonal axes), with a = 3.3261 Å, b = 3.3261 Å, c = 27.5985 Å, α = 90.00°, β = 90.00° and γ = 120.00°. The distinct sites, in fractional coordinates, are Y at (0.0000, 0.0000, 0.2401), Ta at (0.0000, 0.0000, 0.0000) and Ni at (0.0000, 0.0000, 0.5000).

The energy of formation from the pure elements is 0.29 eV per atom. As for the energy above the most stable polymorph in this dataset: 288.5 meV/atom. The density of states at the Fermi level comes out at 5.03 states/eV/f.u.

=====

A plane-wave DFT calculation with PBE-GGA was carried out for a geometry-optimized YTa2Ni structure.

It has space group P2/m (No. 10), with a = 3.0590 Å, b = 4.9734 Å, c = 5.1070 Å, α = 90.00°, β = 101.13° and γ = 90.00°. The distinct sites, in fractional coordinates, are Y at (0.0000, 0.0000, 0.0000), Ta at (0.3060, 0.5000, 0.7316) and Ni at (0.5000, 0.0000, 0.5000).

The energy of formation from the pure elements is 0.29 eV per atom. As for the energy above the most stable polymorph in this dataset: 247.0 meV/atom. The density of states at the Fermi level comes out at 4.46 states/eV/f.u.

=====

A plane-wave DFT calculation with PBE-GGA was carried out for a geometry-optimized Y2TaNi structure.

It has space group Immm (No. 71), with a = 3.4962 Å, b = 5.0566 Å, c = 9.7720 Å, α = 90.00°, β = 90.00° and γ = 90.00°. The distinct sites, in fractional coordinates, are Y at (0.0000, 0.0000, 0.2060), Ta at (0.0000, 0.5000, 0.0000) and Ni at (0.0000, 0.5000, 0.5000).

The energy of formation from the pure elements is 0.31 eV per atom. As for the energy above the most stable polymorph in this dataset: 306.2 meV/atom. The density of states at the Fermi level comes out at 4.76 states/eV/f.u.